Na3PrS | GGA-PBE | optimized geometry

```
Na3PrS
1.0
-5.095 2.292 -2.897
0.632 -4.321 -4.531
-3.639 -3.959 3.268
Pr Na S
1 3 1
direct
0.000 0.000 0.000
0.000 0.500 0.000
0.500 0.000 0.000
0.000 0.000 0.500
0.500 0.500 0.500
```

Output
Its total energy is -1.5155 eV per atom. As for the symmetry: Pm-3m (221). Its crystal system is cubic.

***

NaPrZnS3 | GGA-PBE | optimized geometry

```
NaPrZnS3
1.0
6.451 -2.015 0.000
6.451 2.015 0.000
0.000 0.000 11.053
S Pr Zn Na
6 2 2 2
direct
0.639 0.639 0.580
0.361 0.361 0.080
0.639 0.639 0.920
0.361 0.361 0.420
0.077 0.077 0.250
0.923 0.923 0.750
0.000 0.000 0.000
0.000 0.000 0.500
0.533 0.533 0.750
0.467 0.467 0.250
0.752 0.752 0.250
0.248 0.248 0.750
```

Output
As for the symmetry: Cmcm (63). Its crystal system is orthorhombic. The value obtained for the energy above the most stable polymorph in this dataset is 32.1 meV per atom.

***

NaPrZnS3 | GGA-PBE | optimized geometry

```
NaPrZnS3
1.0
8.091 0.000 0.000
0.000 4.055 0.000
0.000 0.000 16.109
Zn S Pr Na
4 12 4 4
direct
0.135 0.750 0.358
0.865 0.250 0.642
0.365 0.250 0.858
0.635 0.750 0.142
0.500 0.250 0.090
0.313 0.250 0.720
0.374 0.750 0.441
0.687 0.750 0.280
0.626 0.250 0.559
0.126 0.250 0.941
0.000 0.750 0.590
0.500 0.750 0.910
0.000 0.250 0.410
0.874 0.750 0.059
0.813 0.250 0.780
0.187 0.750 0.220
0.738 0.750 0.450
0.262 0.250 0.550
0.238 0.750 0.050
0.762 0.250 0.950
0.073 0.750 0.772
0.427 0.250 0.272
0.573 0.750 0.728
0.927 0.250 0.228
```

Output
As for the symmetry: Pnma (62). Its crystal system is orthorhombic. The value obtained for the energy above the most stable polymorph in this dataset is 50.5 meV per atom.

***

NaPrZnS3 | GGA-PBE | optimized geometry

```
NaPrZnS3
1.0
7.801 0.000 0.000
0.000 4.020 0.000
-2.164 0.000 9.474
Na Pr S Zn
2 2 6 2
direct
0.748 0.250 0.765
0.252 0.750 0.235
0.202 0.250 0.632
0.798 0.750 0.368
0.047 0.250 0.342
0.537 0.250 0.332
0.282 0.250 0.953
0.953 0.750 0.658
0.463 0.750 0.668
0.718 0.750 0.047
0.576 0.250 0.103
0.424 0.750 0.897
```

Output
As for the symmetry: P2_1/m (11). Its crystal system is monoclinic. The value obtained for the energy above the most stable polymorph in this dataset is 46.1 meV per atom.